Record 1
MoIr2Rh | PBE | optimized geometry

The space group is Cmmm (No. 65) and the conventional cell measures 5.489, 7.772 and 2.754 Å, with angles of 90.00, 90.00 and 90.00 degrees. The inequivalent atoms are Mo at (0.000, 0.000, 0.000), Ir at (0.250, 0.250, 0.500) and Rh at (0.000, 0.500, 0.000).

Its formation energy is -0.171 eV per atom. The energy above the most stable polymorph in this dataset comes out at 74 meV per atom. Its total magnetic moment is 0.0 μB per formula unit. The crystal system is orthorhombic.



Record 2
SrAsRhBr2 | PBE | optimized geometry

The space group is P4/mmm (No. 123) and the conventional cell measures 5.806, 5.806 and 6.220 Å, with angles of 90.00, 90.00 and 90.00 degrees. The inequivalent atoms are Sr at (0.000, 0.000, 0.000), As at (0.000, 0.000, 0.500), Rh at (0.500, 0.500, 0.500) and Br at (0.000, 0.500, 0.000).

The energy above the most stable polymorph in this dataset comes out at 1036 meV per atom. Its total magnetic moment is 4.0 μB per formula unit. The crystal system is tetragonal. The uncorrected formation energy comes out at 398 meV per atom.